## TbSmY4S8 (GGA-PBE)

Data for an optimized crystal structure of TbSmY4S8.

Unit cell a=8.0945 b=8.0945 c=8.0993 alpha=60.02 beta=60.02 gamma=60.00
Last column: nearest neighbours and their distance in Å.
Fractional positions:
Y: 0.6250 0.6250 0.1250  4 S 2.62-2.63
Y: 0.5018 0.9994 0.4994  6 S 2.76-2.77
Y: 0.9994 0.9994 0.4994  6 S 2.76-2.77
Y: 0.9994 0.5018 0.4994  6 S 2.76-2.77
S: 0.2409 0.2409 0.7397  1 Sm 2.67, 2 Y 2.76, 1 Tb 2.77
S: 0.7785 0.2409 0.7397  1 Sm 2.67, 2 Y 2.76, 1 Tb 2.77
S: 0.7570 0.7570 0.2577  3 Y 2.62-2.77, 1 Tb 2.78
S: 0.2283 0.7570 0.2577  3 Y 2.62-2.77, 1 Tb 2.78
S: 0.7573 0.7573 0.7281  4 Y 2.63-2.77
S: 0.2409 0.7785 0.7397  1 Sm 2.67, 2 Y 2.76, 1 Tb 2.77
S: 0.7570 0.2283 0.2577  3 Y 2.62-2.77, 1 Tb 2.78
S: 0.2402 0.2402 0.2793  1 Sm 2.67, 3 Y 2.76
Sm: 0.3748 0.3748 0.8756  4 S 2.67
Tb: 0.9995 0.9995 0.0014  6 S 2.77-2.78

Calculated values
formation energy without anion corrections	-1.939	eV per atom
total DFT energy (no corrections)	-95.37	eV for the cell shown
density of states at the Fermi level	8.60	states/eV/cell
symmetry	R3m, No. 160